Zr2TaCd | GGA-PBE | relaxed Values from VASP.

Summary:
* final energy: -29.57 eV per cell
* total moment: 0.000 μB per cell
* density: 9.44 g cm⁻³
* N(E_F): 0.8455 states/eV/atom
* symmetry: P4/mmm, No. 123
* calculated formation energy: 0.07 eV/atom

The structure in Quantum ESPRESSO input format:
```
&SYSTEM
  ibrav = 0, nat = 4, ntyp = 3
/
ATOMIC_SPECIES
Zr 91.22 Zr.upf
Cd 112.41 Cd.upf
Ta 180.95 Ta.upf
ATOMIC_POSITIONS crystal
Zr 0.500 0.500 0.000
Zr 0.000 0.000 0.000
Cd 0.500 0.000 0.500
Ta 0.000 0.500 0.500
CELL_PARAMETERS angstrom
-1.965 -3.159 2.469
3.862 -2.230 0.220
1.014 2.100 3.493
```

***

ZrTaCd | GGA-PBE | relaxed Values from VASP.

Summary:
* final energy: -42.82 eV per cell
* total moment: 0.000 μB per cell
* density: 10.09 g cm⁻³
* N(E_F): 0.6694 states/eV/atom
* symmetry: P4/nmm, No. 129
* calculated formation energy: -0.03 eV/atom

The structure in Quantum ESPRESSO input format:
```
&SYSTEM
  ibrav = 0, nat = 6, ntyp = 3
/
ATOMIC_SPECIES
Zr 91.22 Zr.upf
Ta 180.95 Ta.upf
Cd 112.41 Cd.upf
ATOMIC_POSITIONS crystal
Zr 0.372 0.791 0.984
Zr 0.872 0.291 0.529
Ta 0.372 0.791 0.690
Ta 0.872 0.291 0.822
Cd 0.872 0.291 0.171
Cd 0.373 0.791 0.341
CELL_PARAMETERS angstrom
-0.172 -0.735 3.226
-1.421 -2.900 -0.737
10.407 -4.953 -0.573
```

***

Zr2TaCd | GGA-PBE | relaxed Values from VASP.

Summary:
* final energy: -29.49 eV per cell
* total moment: 0.000 μB per cell
* density: 9.31 g cm⁻³
* N(E_F): 1.5651 states/eV/atom
* symmetry: Cmmm, No. 65
* calculated formation energy: 0.09 eV/atom

The structure in Quantum ESPRESSO input format:
```
&SYSTEM
  ibrav = 0, nat = 4, ntyp = 3
/
ATOMIC_SPECIES
Zr 91.22 Zr.upf
Cd 112.41 Cd.upf
Ta 180.95 Ta.upf
ATOMIC_POSITIONS crystal
Zr 0.000 0.000 0.000
Cd 0.500 0.000 0.500
Ta 0.000 0.500 0.500
Zr 0.500 0.500 0.000
CELL_PARAMETERS angstrom
-4.433 -2.029 -1.929
3.149 -4.178 -0.349
-0.851 -0.882 2.885
```